## Cu2Au3 (meta-GGA SCAN)

Data for a PBEsol-optimized structure of Cu2Au3.

Lattice parameters (Å, degrees): 2.806 3.536 7.787 103.12 100.38 90.00
Element x y z (fractional)
Au: 0.809 0.809 0.617
Au: 0.191 0.191 0.383
Au: 0.000 0.000 0.000
Cu: 0.597 0.597 0.193
Cu: 0.403 0.403 0.807

M_tot = 0.000 μB/atom
Raw total energy = -47.647 eV/atom